This record from the Alexandria database describes an optimized crystal structure of YCuRe. The functional is GGA-PBEsol.

The structure in CIF format:
```
data_YCuRe
_chemical_formula_sum 'Y1 Cu1 Re1'
_cell_length_a 4.5977
_cell_length_b 4.5977
_cell_length_c 2.8239
_cell_angle_alpha 90.00
_cell_angle_beta 90.00
_cell_angle_gamma 120.00
_space_group_name_H-M_alt 'P -6 m 2'
_space_group_IT_number 187
_space_group_name_Hall 'P -6 2'
loop_
_atom_site_label
_atom_site_type_symbol
_atom_site_fract_x
_atom_site_fract_y
_atom_site_fract_z
Y1 Y 0.0000 0.0000 0.0000
Cu1 Cu 0.3333 0.6667 0.5000
Re1 Re 0.6667 0.3333 0.5000
```

Results
ΔH_f (0 K): 415 meV/atom
ΔE to the lowest computed polymorph: 0 meV/atom

This record from the Alexandria database describes an optimized crystal structure of NaNdHg2. The functional is GGA-PBEsol.

The structure in CIF format:
```
data_NaNdHg2
_chemical_formula_sum 'Na4 Nd4 Hg8'
_cell_length_a 7.315
_cell_length_b 7.315
_cell_length_c 7.315
_cell_angle_alpha 90.00
_cell_angle_beta 90.00
_cell_angle_gamma 90.00
_space_group_name_H-M_alt 'F m -3 m'
_space_group_IT_number 225
_space_group_name_Hall '-F 4 2 3'
loop_
_atom_site_label
_atom_site_type_symbol
_atom_site_fract_x
_atom_site_fract_y
_atom_site_fract_z
Na1 Na 0.000 0.000 0.000
Nd1 Nd 0.000 0.000 0.500
Hg1 Hg 0.250 0.250 0.250
```

Results
ΔH_f (0 K): -427 meV/atom

This record from the Alexandria database describes an optimized crystal structure of AsIr2Au. The functional is GGA-PBEsol.

The structure in CIF format:
```
data_AsIr2Au
_chemical_formula_sum 'As1 Ir2 Au1'
_cell_length_a 2.913
_cell_length_b 4.114
_cell_length_c 5.307
_cell_angle_alpha 90.00
_cell_angle_beta 105.00
_cell_angle_gamma 90.00
_space_group_name_H-M_alt 'P 1 2/m 1'
_space_group_IT_number 10
loop_
_space_group_symop_operation_xyz
'x,y,z'
'-x,-y,-z'
'-x,y,-z'
'x,-y,z'
loop_
_atom_site_label
_atom_site_type_symbol
_atom_site_fract_x
_atom_site_fract_y
_atom_site_fract_z
As1 As 0.000 0.000 0.000
Ir1 Ir 0.137 0.500 0.769
Au1 Au 0.500 0.000 0.500
```

Results
ΔH_f (0 K): 276 meV/atom